Density functional theory data (PBEsol) for a relaxed structure of LiTaRh2.

Cell: 4.284 4.284 4.284 Å, 60.00 60.00 60.00°
Fractional positions:
1 Li 0.500 0.500 0.500
2 Rh 0.750 0.750 0.750
3 Ta 0.000 0.000 0.000
4 Rh 0.250 0.250 0.250

Output
- Excess energy over the best structure of this formula in the dataset: 0 meV/atom
- Formation enthalpy at 0 K: -515.0 meV/atom

***

Density functional theory data (PBEsol) for a relaxed structure of NiOs3.

Cell: 4.241 4.241 4.241 Å, 60.00 60.00 60.00°
Each line ends with the local moment (μB).
Fractional positions:
1 Os 0.250 0.250 0.250  0.03
2 Os 0.500 0.500 0.500  0.12
3 Os 0.750 0.750 0.750  0.03
4 Ni 0.000 0.000 0.000  0.07

Output
- Formation enthalpy at 0 K: 607.9 meV/atom

***

Density functional theory data (PBEsol) for a relaxed structure of CdC2F.

Cell: 2.948 2.948 11.409 Å, 97.42 97.42 90.00°
Fractional positions:
1 Cd 0.000 0.000 0.000
2 C 0.625 0.875 0.250
3 C 0.625 0.375 0.750
4 C 0.125 0.375 0.750
5 F 0.750 0.250 0.500
6 F 0.500 0.500 0.000
7 C 0.625 0.375 0.250
8 Cd 0.250 0.750 0.500

Output
- Raw formation energy: 0.70 eV per atom
- Excess energy over the best structure of this formula in the dataset: 0 meV/atom

***

Density functional theory data (PBEsol) for a relaxed structure of CoReTe2.

Cell: 4.602 4.602 4.602 Å, 60.00 60.00 60.00°
Each line ends with the local moment (μB).
Fractional positions:
1 Te 0.250 0.250 0.250  0.03
2 Re 0.500 0.500 0.500  0.33
3 Co 0.000 0.000 0.000  1.46
4 Te 0.750 0.750 0.750  0.03

Output
- Raw formation energy: 0.59 eV per atom

***

Density functional theory data (PBEsol) for a relaxed structure of CoBIrPd2.

Cell: 4.045 4.050 4.050 Å, 90.00 90.00 90.00°
Each line ends with the local moment (μB).
Fractional positions:
1 Ir 0.500 0.000 0.000  0.41
2 Co 0.500 0.500 0.500  2.23
3 Pd 0.000 0.000 0.500  0.12
4 Pd 0.000 0.500 0.000  0.12
5 B 0.000 0.000 0.000  0.02

Output
- Formation enthalpy at 0 K: 235.2 meV/atom

***

Density functional theory data (PBEsol) for a relaxed structure of CrInSb2I.

Cell: 5.515 5.515 5.788 Å, 90.00 90.00 90.00°
Each line ends with the local moment (μB).
Fractional positions:
1 Sb 0.500 0.000 0.000  -0.20
2 In 0.000 0.000 0.000  0.01
3 Cr 0.500 0.500 0.500  4.23
4 Sb 0.000 0.500 0.000  -0.20
5 I 0.000 0.000 0.500  -0.06

Output
- Raw formation energy: 1.06 eV per atom
- Excess energy over the best structure of this formula in the dataset: 751 meV/atom

***

Density functional theory data (PBEsol) for a relaxed structure of LiTl2In.

Cell: 4.490 4.490 5.767 Å, 112.91 112.91 90.00°
Fractional positions:
1 Tl 0.750 0.250 0.500
2 In 0.500 0.500 0.000
3 Li 0.250 0.750 0.500
4 Tl 0.000 0.000 0.000

Output
- Formation enthalpy at 0 K: -112.2 meV/atom

***

Density functional theory data (PBEsol) for a relaxed structure of RuPbN2O.

Cell: 4.125 4.202 4.202 Å, 90.00 90.00 90.00°
Each line ends with the local moment (μB).
Fractional positions:
1 N 0.000 0.500 0.000  0.26
2 Ru 0.500 0.500 0.500  3.02
3 N 0.000 0.000 0.500  0.26
4 Pb 0.000 0.000 0.000  -0.01
5 O 0.500 0.000 0.000  0.31

Output
- Raw formation energy: 2.02 eV per atom

***

no.,magnetic moment (μB/f.u.)
1,0.00
2,0.25
3,0.00
4,1.83
5,2.92
6,3.91
7,0.00
8,4.28